Entry from Alexandria via LeMat-Bulk: Li2Dy3Mg7 after structural relaxation (PBE-GGA).

```
12
Lattice="-0.924 4.771 3.549 -5.200 0.576 2.974 1.603 -2.932 9.460" Properties=species:S:1:pos:R:3 pbc="T T T"
Mg -2.169 1.524 5.006
Mg -2.260 1.207 7.992
Mg -1.883 -1.526 9.180
Mg -2.351 0.891 10.978
Mg -4.803 1.816 6.512
Mg 0.282 0.599 9.472
Mg -2.637 3.941 6.803
Li -0.443 -1.144 11.626
Li -4.078 3.559 4.358
Dy 0.072 -0.952 6.399
Dy 0.000 0.000 0.000
Dy -4.592 3.367 9.584
```

Results
The total energy comes out at -29.0 eV per cell. The calculation puts the spin magnetization at 0.00 μB per formula unit. As for the space group: R-3m.

=====

Entry from Alexandria via LeMat-Bulk: Zr2HgBr after structural relaxation (PBE-GGA).

```
4
Lattice="6.673 0.114 -0.294 5.802 3.298 -0.294 1.956 0.535 4.291" Properties=species:S:1:pos:R:3 pbc="T T T"
Br 6.840 1.871 2.049
Zr 11.022 3.015 2.638
Zr 2.472 0.676 4.094
Hg 3.267 0.894 1.064
```

Results
For the formation energy (no corrections), the calculation gives -0.15 eV per atom. The total energy comes out at -19.7 eV per cell. The calculation puts the spin magnetization at 0.00 μB per formula unit. As for the space group: Cm.

=====

Energy above the most stable polymorph in this dataset? In order: 0, 238 meV per atom.